First-principles (PBE) data for a relaxed structure of CsRb2AlBi2, as listed in the Alexandria database.

Output
DFT formation energy	-0.313	eV/atom

Cell lengths 9.8524, 9.8524, 9.8524 Å; angles 121.64, 77.25, 134.12 degrees
With the nearest neighbours (Å) after each atom.
Atoms (fractional coordinates):
Cs 0.2500 0.2500 0.0000  2 Cs 3.84, 4 Bi 3.92
Cs 0.7500 0.7500 0.0000  2 Cs 3.84, 4 Bi 3.92
Rb 0.1780 0.6781 0.8561  4 Bi 3.65-4.08, 2 Al 3.76
Rb 0.3220 0.1781 0.5001  4 Bi 3.65-4.08, 2 Al 3.76
Rb 0.6780 0.8219 0.4999  4 Bi 3.65-4.08, 2 Al 3.76
Rb 0.8220 0.3219 0.1439  4 Bi 3.65-4.08, 2 Al 3.76
Al 0.2500 0.7500 0.5000  4 Bi 2.89
Al 0.7500 0.2500 0.5000  4 Bi 2.89
Bi 0.0887 0.3263 0.4150  2 Al 2.89
Bi 0.4113 0.8263 0.2376  2 Al 2.89
Bi 0.5887 0.1737 0.7624  2 Al 2.89
Bi 0.9113 0.6737 0.5850  2 Al 2.89